# 1
Entry from Alexandria: an optimized crystal structure of Eu2SnIr (PBE).

a b c (Å): 3.931 3.931 30.094
angles (deg): 90.00 90.00 120.00
Positions (direct):
Eu 0.000 0.000 0.110
Eu 0.000 0.000 0.890
Eu 0.333 0.667 0.556
Eu 0.333 0.667 0.777
Eu 0.667 0.333 0.223
Eu 0.667 0.333 0.444
Sn 0.000 0.000 0.000
Sn 0.333 0.667 0.667
Sn 0.667 0.333 0.333
Ir 0.000 0.000 0.500
Ir 0.333 0.667 0.167
Ir 0.667 0.333 0.833

Properties
- Energy above the most stable polymorph in this dataset: 1.66 eV/f.u.
- ΔH_f (0 K): -0.0199 eV per atom

=====

# 2
Entry from Alexandria: an optimized crystal structure of KSiAg2Hg (PBE).

a b c (Å): 4.965 4.965 5.375
angles (deg): 90.00 90.00 90.00
Positions (direct):
K 0.000 0.000 0.000
Si 0.500 0.500 0.500
Ag 0.000 0.500 0.500
Ag 0.500 0.000 0.500
Hg 0.500 0.500 0.000

Properties
- Raw formation energy: 0.25 eV/f.u.

=====

# 3
Entry from Alexandria: an optimized crystal structure of BaNaCrCl6 (PBE).

a b c (Å): 6.826 6.826 6.445
angles (deg): 90.00 90.00 120.00
Positions (direct):
Ba 0.000 0.000 0.000
Na 0.333 0.667 0.500
Cr 0.667 0.333 0.500
Cl 0.389 0.045 0.714
Cl 0.389 0.344 0.286
Cl 0.656 0.045 0.286
Cl 0.656 0.611 0.714
Cl 0.955 0.344 0.714
Cl 0.955 0.611 0.286

Properties
- Raw formation energy: -15.37 eV/f.u.

=====

# 4
Entry from Alexandria: an optimized crystal structure of KTaRu2 (PBE).

a b c (Å): 2.882 5.093 10.347
angles (deg): 90.00 90.00 90.00
Positions (direct):
K 0.000 0.000 0.000
K 0.500 0.500 0.500
Ta 0.000 0.500 0.207
Ta 0.500 0.000 0.707
Ru 0.000 0.000 0.499
Ru 0.000 0.500 0.788
Ru 0.500 0.000 0.288
Ru 0.500 0.500 0.999

Properties
- Energy above the most stable polymorph in this dataset: 2.33 eV/f.u.
- ΔH_f (0 K): 0.9391 eV per atom

=====

no.,V (Å³/cell),E_tot (eV per atom)
1,402.75,-8.37
2,132.51,-2.46
3,260.10,-4.37
4,151.86,-6.94